This record from the Alexandria database describes a relaxed structure of Dy2LuGa. The functional is PBE.

Summary:
Total moment   0.00 μB per formula unit
Crystal system   trigonal
ΔH_f (0 K)   137 meV/atom
Energy above the most stable polymorph in this dataset   38.9 kJ per mole of atoms

a b c (Å): 3.4584 3.4584 34.6551
angles (deg): 90.00 90.00 120.00
With the nearest neighbours (Å) after each atom.
Space group R-3m (No. 166, hexagonal axes)
Asymmetric unit:
Dy 0.0000 0.0000 0.0863  1 Ga 2.99
Lu 0.0000 0.0000 0.5000  6 Dy 3.43, 6 Lu 3.46
Ga 0.0000 0.0000 0.0000  2 Dy 2.99